(1)
This record from Alexandria describes a relaxed structure of KPr2MnSe4. The functional is PBE.

Results
V = 925 Å³/cell
Total energy = -5.681 eV/atom
E_form (uncorrected) = -11.7 eV/f.u.

Lattice parameters (Å, degrees): 4.241 14.647 14.897 90.00 90.00 90.00
Space group Cmcm (No. 63)
Symmetry-distinct sites (fractional):
K1 0.000 0.106 0.250 x4
Pr1 0.000 0.367 0.059 x8
Mn1 0.000 0.166 0.750 x4
Se1 0.000 0.000 0.000 x4
Se2 0.000 0.268 0.616 x8
Se3 0.000 0.431 0.250 x4

(2)
This record from Alexandria describes a relaxed structure of KPrMnTe3. The functional is PBE.

Results
V = 454 Å³/cell
Total energy = -5.050 eV/atom
E_form (uncorrected) = -5.8 eV/f.u.

Lattice parameters (Å, degrees): 9.830 4.573 10.509 90.00 106.18 90.00
Space group P2_1/m (No. 11)
Symmetry-distinct sites (fractional):
K1 0.201 0.250 0.233 x2
Pr1 0.329 0.750 0.857 x2
Mn1 0.085 0.250 0.604 x2
Te1 0.100 0.250 0.862 x2
Te2 0.206 0.750 0.528 x2
Te3 0.455 0.750 0.170 x2

(3)
This record from Alexandria describes a relaxed structure of K3Pr2MnTe6. The functional is PBE.

Results
V = 874 Å³/cell
Total energy = -4.460 eV/atom
E_form (uncorrected) = -12.6 eV/f.u.

Lattice parameters (Å, degrees): 7.800 13.613 8.633 90.00 107.60 90.00
Space group C2/m (No. 12)
Symmetry-distinct sites (fractional):
K1 0.000 0.000 0.000 x2
K2 0.000 0.327 0.000 x4
Pr1 0.000 0.167 0.500 x4
Mn1 0.000 0.500 0.500 x2
Te1 0.223 0.346 0.706 x8
Te2 0.231 0.500 0.299 x4

(4)
This record from Alexandria describes a relaxed structure of K2PrMnTe4. The functional is PBE.

Results
V = 1129 Å³/cell
Total energy = -4.453 eV/atom
E_form (uncorrected) = -6.9 eV/f.u.

Lattice parameters (Å, degrees): 8.899 9.438 13.443 90.00 90.00 90.00
Space group Imma (No. 74)
Symmetry-distinct sites (fractional):
K1 0.000 0.000 0.000 x4
K2 0.250 0.250 0.250 x4
Pr1 0.000 0.000 0.500 x4
Mn1 0.250 0.250 0.750 x4
Te1 0.000 0.064 0.743 x8
Te2 0.235 0.250 0.508 x8

Look up the E_form (uncorrected) of the first one.
-11.7 eV/f.u.